# PBE SbTeBr2, optimized geometry
# E_form (uncorrected) in kcal/mol of atoms: 2.73
# Crystal system: orthorhombic
# D(E_F) in states/eV/atom: 0.618
# Distance to the lowest polymorph of the same formula in eV per formula unit: 1.65
data_SbTeBr2
_cell_length_a 3.5041
_cell_length_b 5.0137
_cell_length_c 6.3704
_cell_angle_alpha 90.00
_cell_angle_beta 90.00
_cell_angle_gamma 90.00
_symmetry_space_group_name_H-M 'P m m m'
_symmetry_Int_Tables_number 47
loop_
_symmetry_equiv_pos_as_xyz
'x,y,z'
'-x,-y,-z'
'-x,-y,z'
'x,y,-z'
'x,-y,-z'
'-x,y,z'
'-x,y,-z'
'x,-y,z'
loop_
_atom_site_label
_atom_site_type_symbol
_atom_site_fract_x
_atom_site_fract_y
_atom_site_fract_z
_atom_site_occupancy
Sb1 Sb 0.0000 0.0000 0.0000 1
Te1 Te 0.5000 0.0000 0.5000 1
Br1 Br 0.0000 0.5000 0.5000 1
Br2 Br 0.5000 0.5000 0.0000 1